A plane-wave DFT calculation with PBE was carried out for a geometry-optimized TmMgAg structure.

Unit cell a=4.8787 b=4.8787 c=3.3304 alpha=90.00 beta=90.00 gamma=120.00
With the nearest neighbours (Å) after each atom.
Space group P-6m2 (No. 187)
One atom of each set of equivalent atoms:
Tm (0.0000, 0.0000, 0.0000) [1 per cell]  6 Ag 3.27, 6 Mg 3.27, 2 Tm 3.33
Mg (0.3333, 0.6667, 0.5000) [1 per cell]  3 Ag 2.82
Ag (0.6667, 0.3333, 0.5000) [1 per cell]  3 Mg 2.82

Computed properties:
Total energy ... -0.2301 Ry per atom
Volume ... 69 Å³ per cell
Fermi-level density of states ... 2.284 states/eV/cell
Crystal system ... hexagonal
Mass density ... 7.3 g/cm3